(1)
{"formula": "CoSCl2F", "functional": "SCAN", "state": "single point on PBEsol structure", "cell": [[5.1519, 0.0000, 0.0000], [0.0000, 5.1519, 0.0000], [0.0000, 0.0000, 3.5503]], "species": ["Co", "S", "Cl", "Cl", "F"], "fractional_positions": [[0.0000, 0.0000, 0.0000], [0.5000, 0.5000, 0.0000], [0.0000, 0.5000, 0.5000], [0.5000, 0.0000, 0.5000], [0.5000, 0.5000, 0.5000]], "magmom_total_mub_per_fu": 4.03, "total_energy_ev_per_atom": -8.846, "sg": "P4/mmm, No. 123"}

(2)
{"formula": "FeCoCl", "functional": "SCAN", "state": "single point on PBEsol structure", "cell": [[0.0000, 2.4630, 5.5029], [1.5460, 0.0000, 5.5029], [1.5460, 2.4630, 0.0000]], "species": ["Fe", "Co", "Cl"], "fractional_positions": [[0.0000, 0.0000, 0.0000], [0.3544, 0.3544, 0.6456], [0.6742, 0.6742, 0.3258]], "magmom_total_mub_per_fu": 5.19, "total_energy_ev_per_atom": -14.261, "sg": "Fmm2, No. 42"}

(3)
{"formula": "FeCo2Cl", "functional": "SCAN", "state": "single point on PBEsol structure", "cell": [[-1.7291, 1.7291, 4.0210], [1.7291, -1.7291, 4.0210], [1.7291, 1.7291, -4.0210]], "species": ["Fe", "Co", "Co", "Cl"], "fractional_positions": [[0.0000, 0.0000, 0.0000], [0.2500, 0.7500, 0.5000], [0.5000, 0.5000, 0.0000], [0.7500, 0.2500, 0.5000]], "magmom_total_mub_per_fu": 6.97, "total_energy_ev_per_atom": -14.570, "sg": "I-4m2, No. 119"}

(4)
{"formula": "Fe4CoCl", "functional": "SCAN", "state": "single point on PBEsol structure", "cell": [[0.0000, 3.3485, 3.3485], [3.3485, 0.0000, 3.3485], [3.3485, 3.3485, 0.0000]], "species": ["Fe", "Fe", "Fe", "Fe", "Co", "Cl"], "fractional_positions": [[0.3757, 0.3757, 0.3757], [0.3757, 0.3757, 0.8728], [0.3757, 0.8728, 0.3757], [0.8728, 0.3757, 0.3757], [0.7500, 0.7500, 0.7500], [0.0000, 0.0000, 0.0000]], "magmom_total_mub_per_fu": 13.23, "total_energy_ev_per_atom": -15.658, "sg": "F-43m, No. 216"}

(5)
{"formula": "FeCo3Cl", "functional": "SCAN", "state": "single point on PBEsol structure", "cell": [[3.9999, 0.0000, 0.0000], [0.0000, 3.9999, 0.0000], [0.0000, 0.0000, 3.9999]], "species": ["Fe", "Co", "Co", "Co", "Cl"], "fractional_positions": [[0.0000, 0.0000, 0.0000], [0.0000, 0.5000, 0.5000], [0.5000, 0.0000, 0.5000], [0.5000, 0.5000, 0.0000], [0.5000, 0.5000, 0.5000]], "magmom_total_mub_per_fu": 6.21, "total_energy_ev_per_atom": -14.645, "sg": "Pm-3m, No. 221"}

(6)
{"formula": "Sr3FeCoCl2O4", "functional": "SCAN", "state": "single point on PBEsol structure", "cell": [[-1.9444, 1.9444, 11.2305], [1.9444, -1.9444, 11.2305], [1.9444, 1.9444, -11.2305]], "species": ["Sr", "Sr", "Sr", "Fe", "Co", "Cl", "Cl", "O", "O", "O", "O"], "fractional_positions": [[0.0000, 0.0000, 0.0000], [0.1489, 0.1489, 0.0000], [0.8475, 0.8475, 0.0000], [0.4268, 0.4268, 0.0000], [0.5678, 0.5678, 0.0000], [0.2982, 0.2982, 0.0000], [0.7042, 0.7042, 0.0000], [0.0750, 0.5750, 0.5000], [0.4225, 0.9225, 0.5000], [0.5750, 0.0750, 0.5000], [0.9225, 0.4225, 0.5000]], "magmom_total_mub_per_fu": 5.76, "total_energy_ev_per_atom": -15.321, "sg": "I4mm, No. 107"}

(7)
{"formula": "FeCoP2Cl", "functional": "SCAN", "state": "single point on PBEsol structure", "cell": [[4.2157, 0.0000, 0.0000], [0.0000, 4.2157, 0.0000], [0.0000, 0.0000, 4.6916]], "species": ["Fe", "Co", "P", "P", "Cl"], "fractional_positions": [[0.0000, 0.0000, 0.0000], [0.5000, 0.5000, 0.5000], [0.0000, 0.5000, 0.5000], [0.5000, 0.0000, 0.5000], [0.5000, 0.5000, 0.0000]], "magmom_total_mub_per_fu": 2.27, "total_energy_ev_per_atom": -12.176, "sg": "P4/mmm, No. 123"}

(8)
{"formula": "GaCoCl2", "functional": "SCAN", "state": "single point on PBEsol structure", "cell": [[-4.0401, 4.0401, 2.3611], [4.0401, -4.0401, 2.3611], [4.0401, 4.0401, -2.3611]], "species": ["Ga", "Ga", "Co", "Co", "Cl", "Cl", "Cl", "Cl"], "fractional_positions": [[0.0000, 0.0000, 0.0000], [0.7500, 0.2500, 0.5000], [0.2500, 0.7500, 0.5000], [0.5000, 0.5000, 0.0000], [0.2690, 0.1250, 0.6440], [0.3750, 0.7310, 0.8560], [0.4810, 0.6250, 0.3560], [0.8750, 0.5190, 0.1440]], "magmom_total_mub_per_fu": 0.88, "total_energy_ev_per_atom": -12.768, "sg": "I-42d, No. 122"}

(9)
{"formula": "Ga3CoCl", "functional": "SCAN", "state": "single point on PBEsol structure", "cell": [[4.5440, 0.0000, 0.0000], [0.0000, 4.5440, 0.0000], [0.0000, 0.0000, 4.5440]], "species": ["Ga", "Ga", "Ga", "Co", "Cl"], "fractional_positions": [[0.0000, 0.0000, 0.5000], [0.0000, 0.5000, 0.0000], [0.5000, 0.0000, 0.0000], [0.0000, 0.0000, 0.0000], [0.5000, 0.5000, 0.5000]], "magmom_total_mub_per_fu": 0.00, "total_energy_ev_per_atom": -15.164, "sg": "Pm-3m, No. 221"}

(10)
{"formula": "GaCo3Cl", "functional": "SCAN", "state": "single point on PBEsol structure", "cell": [[4.0277, 0.0000, 0.0000], [0.0000, 4.0277, 0.0000], [0.0000, 0.0000, 4.0277]], "species": ["Ga", "Co", "Co", "Co", "Cl"], "fractional_positions": [[0.0000, 0.0000, 0.0000], [0.0000, 0.5000, 0.5000], [0.5000, 0.0000, 0.5000], [0.5000, 0.5000, 0.0000], [0.5000, 0.5000, 0.5000]], "magmom_total_mub_per_fu": 3.02, "total_energy_ev_per_atom": -14.389, "sg": "Pm-3m, No. 221"}

(11)
{"formula": "InGa2CoCl", "functional": "SCAN", "state": "single point on PBEsol structure", "cell": [[5.2450, 0.0000, 0.0000], [0.0000, 5.2450, 0.0000], [0.0000, 0.0000, 3.9957]], "species": ["In", "Ga", "Ga", "Co", "Cl"], "fractional_positions": [[0.0000, 0.0000, 0.0000], [0.0000, 0.5000, 0.5000], [0.5000, 0.0000, 0.5000], [0.5000, 0.5000, 0.0000], [0.5000, 0.5000, 0.5000]], "magmom_total_mub_per_fu": 1.30, "total_energy_ev_per_atom": -17.731, "sg": "P4/mmm, No. 123"}

(12)
{"formula": "GaCoPCl2", "functional": "SCAN", "state": "single point on PBEsol structure", "cell": [[4.7689, 0.0000, 0.0000], [0.0000, 4.7689, 0.0000], [0.0000, 0.0000, 4.1978]], "species": ["Ga", "Co", "P", "Cl", "Cl"], "fractional_positions": [[0.0000, 0.0000, 0.0000], [0.5000, 0.5000, 0.5000], [0.5000, 0.5000, 0.0000], [0.0000, 0.5000, 0.5000], [0.5000, 0.0000, 0.5000]], "magmom_total_mub_per_fu": 0.00, "total_energy_ev_per_atom": -11.953, "sg": "P4/mmm, No. 123"}